(1)
LaPm2Zr PBE-GGA optimized geometry; D(E_F) = 1.21 states/eV per atom; raw total energy = -22.5 eV for the cell shown; crystal system = trigonal; offset from the most stable computed form = 0 meV/atom; total magnetization = 0.00 μB per formula unit; ΔH_f (0 K) = 117 meV per atom
1.0
-2.922 1.235 1.532
-2.850 -2.053 0.270
1.850 -4.154 10.927
La Pm Zr
1 2 1
Cartesian
-1.956 -2.491 6.378
0.986 -3.266 8.565
-1.063 -1.158 2.956
-2.001 -4.696 12.122

(2)
LaPmZr PBE-GGA optimized geometry; D(E_F) = 1.47 states/eV per atom; raw total energy = -35.6 eV for the cell shown; crystal system = orthorhombic; offset from the most stable computed form = 40 meV/atom; total magnetization = 0.00 μB per formula unit; ΔH_f (0 K) = 149 meV per atom
1.0
-7.381 -2.575 -10.071
5.998 -0.783 11.222
-3.042 1.854 1.755
La Pm Zr
2 2 2
Cartesian
-0.710 -1.116 2.196
-3.715 -0.388 0.711
3.256 -0.585 8.508
-7.681 -0.919 -5.601
-5.979 -0.691 -2.893
1.554 -0.813 5.799

(3)
La2PmZr PBE-GGA optimized geometry; D(E_F) = 1.49 states/eV per atom; raw total energy = -21.9 eV for the cell shown; crystal system = trigonal; offset from the most stable computed form = 185 meV/atom; total magnetization = 0.00 μB per formula unit; ΔH_f (0 K) = 324 meV per atom
1.0
-3.431 -0.075 -0.232
-1.763 -2.589 1.421
-2.584 5.486 10.947
La Zr Pm
2 1 1
Cartesian
-2.373 3.906 8.333
-5.406 -1.085 3.804
0.000 0.000 0.000
-3.889 1.411 6.068

(4)
LaPm2Zr PBE-GGA optimized geometry; D(E_F) = 1.32 states/eV per atom; raw total energy = -21.6 eV for the cell shown; crystal system = trigonal; offset from the most stable computed form = 222 meV/atom; total magnetization = 0.00 μB per formula unit; ΔH_f (0 K) = 339 meV per atom
1.0
-1.658 1.655 -2.516
-2.164 -1.713 -2.050
-10.519 2.437 6.186
La Zr Pm
1 1 2
Cartesian
-7.170 1.189 0.810
0.000 0.000 0.000
-8.178 1.815 4.234
-6.163 0.564 -2.613

(5)
La12Pm6Zr PBE-GGA optimized geometry; D(E_F) = 1.87 states/eV per atom; raw total energy = -95.4 eV for the cell shown; crystal system = trigonal; total magnetization = 0.00 μB per formula unit; ΔH_f (0 K) = 43 meV per atom
1.0
9.176 -0.613 -3.121
-4.171 8.196 -3.121
-0.405 -0.613 9.684
La Pm Zr
12 6 1
Cartesian
2.955 -0.107 4.310
-2.052 4.526 1.619
3.779 2.675 -2.426
1.645 7.077 -0.868
6.652 2.443 1.823
0.821 4.295 5.867
-0.004 0.722 6.410
-1.737 6.690 4.612
6.353 1.033 5.255
4.604 6.248 -2.968
6.337 0.280 -1.170
-1.753 5.937 -1.813
0.424 2.118 2.860
3.778 3.504 3.843
1.353 5.748 2.540
4.177 4.852 0.581
0.822 3.466 -0.401
3.247 1.222 0.902
0.000 0.000 0.000

(6)
La2PmZr PBE-GGA optimized geometry; D(E_F) = 1.22 states/eV per atom; raw total energy = -22.5 eV for the cell shown; crystal system = tetragonal; offset from the most stable computed form = 28 meV/atom; total magnetization = 0.00 μB per formula unit; ΔH_f (0 K) = 166 meV per atom
1.0
4.126 0.000 0.000
0.000 4.126 0.000
0.000 0.000 7.492
La Zr Pm
2 1 1
Cartesian
0.000 0.000 5.826
0.000 0.000 1.666
2.063 2.063 0.000
2.063 2.063 3.746

(7)
LaPm2Zr PBE-GGA optimized geometry; D(E_F) = 1.92 states/eV per atom; raw total energy = -22.3 eV for the cell shown; crystal system = tetragonal; offset from the most stable computed form = 63 meV/atom; total magnetization = 0.00 μB per formula unit; ΔH_f (0 K) = 180 meV per atom
1.0
4.081 0.000 0.000
0.000 4.081 0.000
0.000 0.000 7.570
La Zr Pm
1 1 2
Cartesian
2.041 2.041 3.785
2.041 2.041 0.000
0.000 0.000 5.946
0.000 0.000 1.623

(8)
La2PmZr PBE-GGA optimized geometry; D(E_F) = 1.14 states/eV per atom; raw total energy = -22.6 eV for the cell shown; crystal system = tetragonal; offset from the most stable computed form = 3 meV/atom; total magnetization = 0.00 μB per formula unit; ΔH_f (0 K) = 141 meV per atom
1.0
-4.664 -1.725 0.154
1.758 -4.736 0.187
0.081 0.229 5.049
La Zr Pm
2 1 1
Cartesian
0.041 0.115 2.525
0.879 -2.368 0.093
-2.332 -0.863 0.077
-1.413 -3.116 2.695

(9)
LaPm2Zr PBE-GGA optimized geometry; D(E_F) = 1.15 states/eV per atom; raw total energy = -22.4 eV for the cell shown; crystal system = tetragonal; offset from the most stable computed form = 20 meV/atom; total magnetization = 0.00 μB per formula unit; ΔH_f (0 K) = 137 meV per atom
1.0
5.023 0.000 0.000
0.000 4.989 0.000
0.000 0.000 4.989
La Zr Pm
1 1 2
Cartesian
2.511 2.495 2.495
2.511 0.000 0.000
0.000 0.000 2.495
0.000 2.495 0.000

(10)
LaPmZr PBE-GGA optimized geometry; D(E_F) = 1.46 states/eV per atom; raw total energy = -35.8 eV for the cell shown; crystal system = tetragonal; offset from the most stable computed form = 0 meV/atom; total magnetization = 0.00 μB per formula unit; ΔH_f (0 K) = 109 meV per atom
1.0
-2.768 -1.315 2.413
-1.147 -2.559 -2.711
7.956 -8.391 4.554
Pm La Zr
2 2 2
Cartesian
4.156 -6.267 1.352
1.843 -4.061 3.053
4.883 -7.267 4.794
1.115 -3.061 -0.389
6.985 -9.251 2.971
-0.986 -1.077 1.434

(11)
La2PmZr PBE-GGA optimized geometry; D(E_F) = 1.91 states/eV per atom; raw total energy = -22.3 eV for the cell shown; crystal system = cubic; offset from the most stable computed form = 74 meV/atom; total magnetization = 0.01 μB per formula unit; ΔH_f (0 K) = 212 meV per atom
1.0
5.635 0.000 0.000
2.818 4.880 0.000
2.818 1.627 4.601
La Zr Pm
2 1 1
Cartesian
2.818 1.627 1.150
8.453 4.880 3.451
5.635 3.254 2.301
0.000 0.000 0.000

(12)
LaPm14Zr PBE-GGA optimized geometry; D(E_F) = 1.49 states/eV per atom; raw total energy = -79.2 eV for the cell shown; crystal system = tetragonal; total magnetization = 0.00 μB per formula unit; ΔH_f (0 K) = 46 meV per atom
1.0
7.191 0.965 0.000
-0.965 7.191 0.000
0.000 0.000 10.228
La Pm Zr
1 14 1
Cartesian
6.172 1.743 0.000
2.093 4.856 5.114
6.171 1.744 5.114
5.689 5.337 0.000
5.689 5.339 5.114
2.577 1.261 0.000
2.575 1.261 5.114
3.608 6.840 7.730
3.608 6.840 2.497
0.579 2.872 7.730
0.579 2.872 2.497
0.109 6.371 7.730
0.109 6.371 2.498
4.078 3.341 7.729
4.078 3.341 2.499
2.095 4.855 0.000

Q: Look up the ΔH_f (0 K) of the fourth one.
A: 339 meV per atom